Record 1
DFT (PBE) results for an optimized crystal structure of Tm4ZnCoCu2.

Summary:
- ΔH_f (0 K): -299 meV per atom
- Magnetization: 0.0 μB/cell
- Calculated volume: 19.773 Å³ per atom
- Space group: R-3m
- Theoretical density: 9.73 Mg/m³

abc: 8.3317 8.3317 8.3317
angles: 33.65 33.65 33.65
Positions (direct):
Tm 0.1193 0.1193 0.1193
Tm 0.3703 0.3703 0.3703
Tm 0.6297 0.6297 0.6297
Tm 0.8807 0.8807 0.8807
Zn 0.5000 0.5000 0.5000
Co 0.0000 0.0000 0.0000
Cu 0.2461 0.2461 0.2461
Cu 0.7539 0.7539 0.7539

***

Record 2
DFT (PBE) results for an optimized crystal structure of TmZnCoCu.

Summary:
- ΔH_f (0 K): -112 meV per atom
- Magnetization: 0.0 μB/cell
- Calculated volume: 15.551 Å³ per atom
- Space group: F-43m
- Theoretical density: 9.53 Mg/m³

abc: 4.4475 4.4475 4.4475
angles: 60.00 60.00 60.00
Positions (direct):
Tm 0.0000 0.0000 0.0000
Zn 0.5000 0.5000 0.5000
Co 0.7500 0.7500 0.7500
Cu 0.2500 0.2500 0.2500

***

Record 3
DFT (PBE) results for an optimized crystal structure of UCo2Cu.

Summary:
- ΔH_f (0 K): 371 meV per atom
- Magnetization: 1.9 μB/cell
- Calculated volume: 13.960 Å³ per atom
- Space group: R-3m
- Theoretical density: 12.47 Mg/m³

abc: 8.7634 8.7634 8.7634
angles: 17.95 17.95 17.95
Positions (direct):
U 0.0000 0.0000 0.0000
Co 0.2439 0.2439 0.2439
Co 0.7561 0.7561 0.7561
Cu 0.5000 0.5000 0.5000

***

Record 4
DFT (PBE) results for an optimized crystal structure of UCo4Cu.

Summary:
- ΔH_f (0 K): -54 meV per atom
- Magnetization: 2.6 μB/cell
- Calculated volume: 13.166 Å³ per atom
- Space group: F-43m
- Theoretical density: 11.29 Mg/m³

abc: 4.8162 4.8162 4.8162
angles: 60.00 60.00 60.00
Positions (direct):
U 0.0000 0.0000 0.0000
Co 0.3756 0.3756 0.3756
Co 0.3756 0.3756 0.8731
Co 0.3756 0.8731 0.3756
Co 0.8731 0.3756 0.3756
Cu 0.7500 0.7500 0.7500

***

Record 5
DFT (PBE) results for an optimized crystal structure of U2Co9Cu.

Summary:
- ΔH_f (0 K): -102 meV per atom
- Magnetization: 6.0 μB/cell
- Calculated volume: 12.570 Å³ per atom
- Space group: P4/mmm
- Theoretical density: 11.78 Mg/m³

abc: 3.7496 3.7496 10.7286
angles: 90.00 90.00 90.00
Positions (direct):
U 0.0000 0.0000 0.1772
U 0.0000 0.0000 0.8228
Co 0.0000 0.5000 0.0000
Co 0.0000 0.5000 0.3461
Co 0.0000 0.5000 0.6539
Co 0.5000 0.0000 0.0000
Co 0.5000 0.0000 0.3461
Co 0.5000 0.0000 0.6539
Co 0.5000 0.5000 0.1728
Co 0.5000 0.5000 0.5000
Co 0.5000 0.5000 0.8272
Cu 0.0000 0.0000 0.5000

***

Record 6
DFT (PBE) results for an optimized crystal structure of UCoCu.

Summary:
- ΔH_f (0 K): -2 meV per atom
- Magnetization: 0.0 μB/cell
- Calculated volume: 14.959 Å³ per atom
- Space group: R-3m
- Theoretical density: 13.34 Mg/m³

abc: 7.0361 7.0361 7.0361
angles: 32.57 32.57 32.57
Positions (direct):
U 0.2033 0.2033 0.2033
U 0.7967 0.7967 0.7967
Co 0.0618 0.0618 0.0618
Co 0.9382 0.9382 0.9382
Cu 0.3520 0.3520 0.3520
Cu 0.6480 0.6480 0.6480

***

Record 7
DFT (PBE) results for an optimized crystal structure of VCoCu3.

Summary:
- ΔH_f (0 K): 1082 meV per atom
- Magnetization: 5.0 μB/cell
- Calculated volume: 16.410 Å³ per atom
- Space group: Pm-3m
- Theoretical density: 6.08 Mg/m³
- Relative energy among the computed polymorphs: 0.000 eV/atom

abc: 4.3454 4.3454 4.3454
angles: 90.00 90.00 90.00
Positions (direct):
V 0.0000 0.0000 0.0000
Co 0.5000 0.5000 0.5000
Cu 0.0000 0.5000 0.5000
Cu 0.5000 0.0000 0.5000
Cu 0.5000 0.5000 0.0000

***

Record 8
DFT (PBE) results for an optimized crystal structure of V2Co9Cu.

Summary:
- ΔH_f (0 K): -51 meV per atom
- Magnetization: 9.1 μB/cell
- Calculated volume: 11.140 Å³ per atom
- Space group: P4/mmm
- Theoretical density: 8.64 Mg/m³

abc: 3.5508 3.5508 10.6027
angles: 90.00 90.00 90.00
Positions (direct):
V 0.0000 0.0000 0.1673
V 0.0000 0.0000 0.8327
Co 0.0000 0.5000 0.0000
Co 0.0000 0.5000 0.3333
Co 0.0000 0.5000 0.6667
Co 0.5000 0.0000 0.0000
Co 0.5000 0.0000 0.3333
Co 0.5000 0.0000 0.6667
Co 0.5000 0.5000 0.1653
Co 0.5000 0.5000 0.5000
Co 0.5000 0.5000 0.8347
Cu 0.0000 0.0000 0.5000

***

Repeat the sixth record exactly.
DFT (PBE) results for an optimized crystal structure of UCoCu.

Summary:
- ΔH_f (0 K): -2 meV per atom
- Magnetization: 0.0 μB/cell
- Calculated volume: 14.959 Å³ per atom
- Space group: R-3m
- Theoretical density: 13.34 Mg/m³

abc: 7.0361 7.0361 7.0361
angles: 32.57 32.57 32.57
Positions (direct):
U 0.2033 0.2033 0.2033
U 0.7967 0.7967 0.7967
Co 0.0618 0.0618 0.0618
Co 0.9382 0.9382 0.9382
Cu 0.3520 0.3520 0.3520
Cu 0.6480 0.6480 0.6480